No. 1
This record from the Alexandria database describes an optimized crystal structure of Li2BeCuBi. The functional is PBE-GGA.

Values from the calculation:
energy of formation: 0.6850 eV/atom
symmetry: No. 123
mass density: 3.44 g/cm³

Unit cell a=5.3591 b=5.3591 c=4.9717 alpha=90.00 beta=90.00 gamma=90.00
Fractional positions:
Li  0.0000  0.5000  0.0000
Li  0.5000  0.0000  0.0000
Be  0.0000  0.0000  0.5000
Cu  0.5000  0.5000  0.5000
Bi  0.5000  0.5000  0.0000

No. 2
This record from the Alexandria database describes an optimized crystal structure of BeCuRe2Bi. The functional is PBE-GGA.

Values from the calculation:
energy of formation: 1.3319 eV/atom
symmetry: No. 123
mass density: 12.66 g/cm³

Unit cell a=4.2023 b=4.2023 c=4.8561 alpha=90.00 beta=90.00 gamma=90.00
Fractional positions:
Be  0.0000  0.0000  0.0000
Cu  0.5000  0.5000  0.5000
Re  0.0000  0.5000  0.0000
Re  0.5000  0.0000  0.0000
Bi  0.0000  0.0000  0.5000